Entry 1:
Compound: LiAsPO2
Source: Alexandria via LeMat-Bulk
Functional: PBE
Structure: relaxed

Geometry as extended XYZ:
```
5
Lattice="3.374 0.000 0.000 0.000 3.374 0.000 0.000 0.000 8.172" Properties=species:S:1:pos:R:3 pbc="T T T"
Li 0.000 0.000 0.000
As 1.687 1.687 0.000
P 0.000 0.000 4.086
O 0.000 1.687 4.086
O 1.687 0.000 4.086
```

The value obtained for the electronic total energy is -4.728 eV/atom. The magnetic moment is 0.0 μB per formula unit. Its raw formation energy is -0.350 eV/atom. The energy above the most stable polymorph in this dataset is 0 meV/atom.

Entry 2:
Compound: LiAsPO2
Source: Alexandria via LeMat-Bulk
Functional: PBE
Structure: relaxed

Geometry as extended XYZ:
```
5
Lattice="3.703 0.000 0.000 0.000 3.703 0.000 0.000 0.000 5.104" Properties=species:S:1:pos:R:3 pbc="T T T"
Li 0.000 0.000 0.000
As 1.852 1.852 2.552
P 1.852 1.852 0.000
O 0.000 1.852 2.552
O 1.852 0.000 2.552
```

The value obtained for the electronic total energy is -4.677 eV/atom. The magnetic moment is 0.0 μB per formula unit. Its raw formation energy is -0.299 eV/atom. The energy above the most stable polymorph in this dataset is 51 meV/atom.

Entry 3:
Compound: LiAsPO2
Source: Alexandria via LeMat-Bulk
Functional: PBE
Structure: relaxed

Geometry as extended XYZ:
```
5
Lattice="3.670 0.000 0.000 0.000 3.670 0.000 0.000 0.000 4.599" Properties=species:S:1:pos:R:3 pbc="T T T"
Li 0.000 0.000 0.000
As 1.835 1.835 2.299
P 0.000 0.000 2.299
O 0.000 1.835 0.000
O 1.835 0.000 0.000
```

The value obtained for the electronic total energy is -4.099 eV/atom. The magnetic moment is 1.3 μB per formula unit. Its raw formation energy is 0.279 eV/atom. The energy above the most stable polymorph in this dataset is 629 meV/atom.

Entry 4:
Compound: LiAsP2O
Source: Alexandria via LeMat-Bulk
Functional: PBE
Structure: relaxed

Geometry as extended XYZ:
```
5
Lattice="4.589 0.000 0.000 0.000 4.589 0.000 0.000 0.000 3.382" Properties=species:S:1:pos:R:3 pbc="T T T"
Li 0.000 0.000 0.000
As 2.294 2.294 1.691
P 0.000 2.294 0.000
P 2.294 0.000 0.000
O 0.000 0.000 1.691
```

The value obtained for the electronic total energy is -3.984 eV/atom. The magnetic moment is 0.0 μB per formula unit. Its raw formation energy is 0.485 eV/atom. The energy above the most stable polymorph in this dataset is 230 meV/atom.

Entry 5:
Compound: Li4PaAs3O12
Source: Alexandria via LeMat-Bulk
Functional: PBE
Structure: relaxed

Geometry as extended XYZ:
```
20
Lattice="-3.628 3.628 3.628 3.628 -3.628 3.628 3.628 3.628 -3.628" Properties=species:S:1:pos:R:3 pbc="T T T"
Li 1.814 1.814 -1.814
Li 1.814 -1.814 1.814
Li -1.814 1.814 1.814
Li 1.814 1.814 1.814
Pa 0.000 0.000 0.000
As 3.628 0.000 0.000
As 0.000 3.628 0.000
As 0.000 0.000 3.628
O 3.628 -1.331 2.438
O 2.296 1.190 0.000
O 4.959 1.190 0.000
O 2.438 3.628 -1.331
O 1.190 0.000 2.296
O 0.000 2.296 1.190
O 3.628 1.331 2.438
O 2.438 3.628 1.331
O 1.190 0.000 4.959
O -1.331 2.438 3.628
O 1.331 2.438 3.628
O 0.000 4.959 1.190
```

The value obtained for the electronic total energy is -6.119 eV/atom. The magnetic moment is 0.0 μB per formula unit. Its raw formation energy is -1.589 eV/atom.

Entry 6:
Compound: LiPaAsO6
Source: Alexandria via LeMat-Bulk
Functional: PBE
Structure: relaxed

Geometry as extended XYZ:
```
18
Lattice="5.428 0.000 0.000 -2.714 4.701 0.000 0.000 0.000 8.842" Properties=species:S:1:pos:R:3 pbc="T T T"
Li 0.000 0.000 0.000
Li 0.000 0.000 4.421
Pa 0.000 3.134 2.211
Pa 2.714 1.567 6.632
As 0.000 3.134 6.632
As 2.714 1.567 2.211
O -0.777 1.786 5.606
O -1.556 3.135 7.657
O 0.777 1.786 7.657
O -0.778 4.481 5.606
O 1.935 0.220 1.185
O 1.158 1.566 3.236
O 1.556 3.135 5.606
O 0.778 4.481 7.657
O 3.492 0.220 3.236
O 1.937 2.915 1.185
O 4.270 1.566 1.185
O 3.491 2.915 3.236
```

The value obtained for the electronic total energy is -7.059 eV/atom. The magnetic moment is 1.0 μB per formula unit. Its raw formation energy is -1.970 eV/atom.

Entry 7:
Compound: LiPaAsO5
Source: Alexandria via LeMat-Bulk
Functional: PBE
Structure: relaxed

Geometry as extended XYZ:
```
16
Lattice="4.146 -4.319 0.000 4.146 4.319 0.000 -4.080 0.000 7.124" Properties=species:S:1:pos:R:3 pbc="T T T"
Li 1.086 2.692 5.343
Li 3.126 -2.692 1.781
Pa 4.146 0.000 0.000
Pa 2.106 0.000 3.562
As 3.126 3.173 1.781
As 1.086 -3.173 5.343
O 0.141 0.069 2.450
O -1.899 -0.069 6.012
O 3.890 2.119 0.446
O 2.362 2.119 3.116
O 1.086 0.692 5.343
O 3.126 -0.692 1.781
O 1.850 -2.119 4.008
O 0.322 -2.119 6.678
O 6.111 0.069 1.112
O 4.071 -0.069 4.674
```

The value obtained for the electronic total energy is -7.398 eV/atom. The magnetic moment is 0.0 μB per formula unit. Its raw formation energy is -2.292 eV/atom.

Entry 8:
Compound: Li2PaAsO8
Source: Alexandria via LeMat-Bulk
Functional: PBE
Structure: relaxed

Geometry as extended XYZ:
```
12
Lattice="4.430 0.000 0.000 -2.215 3.837 0.000 0.000 0.000 6.984" Properties=species:S:1:pos:R:3 pbc="T T T"
Li 0.000 2.558 2.068
Li 2.215 1.279 4.916
Pa 0.000 0.000 0.000
As 0.000 0.000 3.492
O 0.000 1.306 4.769
O -1.084 3.184 4.769
O 0.000 2.558 0.225
O 1.131 0.653 2.215
O 1.084 3.184 4.769
O 2.215 1.279 6.759
O 3.299 0.653 2.215
O 2.215 2.530 2.215
```

The value obtained for the electronic total energy is -6.047 eV/atom. The magnetic moment is 1.9 μB per formula unit. Its raw formation energy is -1.244 eV/atom.

Entry 9:
Compound: Li2PaAsO6
Source: Alexandria via LeMat-Bulk
Functional: PBE
Structure: relaxed

Geometry as extended XYZ:
```
10
Lattice="2.560 1.478 4.941 -2.560 1.478 4.941 0.000 -2.956 4.941" Properties=species:S:1:pos:R:3 pbc="T T T"
Li 0.000 0.000 3.015
Li 0.000 0.000 11.807
Pa 0.000 0.000 0.000
As 0.000 0.000 7.411
O -0.629 -1.396 6.338
O -1.524 -0.153 8.484
O -0.895 1.243 6.338
O 0.895 -1.243 8.484
O 1.524 0.153 6.338
O 0.629 1.396 8.484
```

The value obtained for the electronic total energy is -7.097 eV/atom. The magnetic moment is 0.0 μB per formula unit. Its raw formation energy is -2.324 eV/atom.

Entry 10:
Compound: LiPa2AsO8
Source: Alexandria via LeMat-Bulk
Functional: PBE
Structure: relaxed

Geometry as extended XYZ:
```
12
Lattice="5.205 0.000 0.000 -2.602 4.507 0.000 0.000 0.000 6.824" Properties=species:S:1:pos:R:3 pbc="T T T"
Li 0.000 0.000 0.000
Pa 0.000 3.005 2.350
Pa 2.602 1.502 4.474
As 0.000 0.000 3.412
O 0.000 1.515 4.439
O -1.290 3.750 4.439
O 0.000 3.005 0.495
O 1.312 0.758 2.384
O 1.290 3.750 4.439
O 2.602 1.502 6.329
O 3.893 0.758 2.384
O 2.602 2.992 2.384
```

The value obtained for the electronic total energy is -7.790 eV/atom. The magnetic moment is 0.0 μB per formula unit. Its raw formation energy is -2.355 eV/atom.

Entry 11:
Compound: LiPaAs2O8
Source: Alexandria via LeMat-Bulk
Functional: PBE
Structure: relaxed

Geometry as extended XYZ:
```
12
Lattice="-3.525 3.525 3.163 3.525 -3.525 3.163 3.525 3.525 -3.163" Properties=species:S:1:pos:R:3 pbc="T T T"
Li 0.000 0.000 0.000
Pa 0.000 3.525 1.581
As 3.525 0.000 1.581
As 0.000 0.000 3.163
O 2.235 0.000 0.430
O 4.814 0.000 0.430
O 3.525 2.176 -1.055
O 3.525 -1.289 2.733
O 0.000 1.349 2.108
O 3.525 1.289 2.733
O 2.176 3.525 1.055
O 1.349 0.000 4.217
```

The value obtained for the electronic total energy is -7.038 eV/atom. The magnetic moment is 0.0 μB per formula unit. Its raw formation energy is -2.007 eV/atom.

Entry 12:
Compound: LiAsPbO5
Source: Alexandria via LeMat-Bulk
Functional: PBE
Structure: relaxed

Geometry as extended XYZ:
```
16
Lattice="3.987 -4.349 0.000 3.987 4.349 0.000 -3.580 0.000 6.676" Properties=species:S:1:pos:R:3 pbc="T T T"
Li 1.302 2.781 5.007
Li 3.092 -2.781 1.669
As 3.092 3.163 1.669
As 1.302 -3.163 5.007
Pb 3.987 0.000 0.000
Pb 2.197 0.000 3.338
O -1.593 0.011 5.660
O 0.197 -0.011 2.322
O 2.369 2.216 2.910
O 3.815 2.216 0.428
O 1.302 0.862 5.007
O 3.092 -0.862 1.669
O 0.579 -2.216 6.248
O 2.025 -2.216 3.766
O 4.197 0.011 4.354
O 5.986 -0.011 1.016
```

The value obtained for the electronic total energy is -5.656 eV/atom. The magnetic moment is 0.0 μB per formula unit. Its raw formation energy is -1.273 eV/atom.

Entry 13:
Compound: LiAsPbO4
Source: Alexandria via LeMat-Bulk
Functional: PBE
Structure: relaxed

Geometry as extended XYZ:
```
14
Lattice="6.084 0.000 0.000 0.000 5.740 0.000 -2.635 0.000 6.332" Properties=species:S:1:pos:R:3 pbc="T T T"
Li 0.167 1.435 2.927
Li 3.282 4.305 3.406
As 0.875 4.305 2.051
As 2.574 1.435 4.281
Pb 1.574 1.435 0.237
Pb 1.875 4.305 6.096
O -0.085 2.933 1.569
O -0.085 5.678 1.569
O 1.201 4.305 3.718
O 2.394 4.305 1.226
O 1.055 1.435 5.107
O 2.248 1.435 2.614
O 3.534 0.062 4.763
O 3.534 2.808 4.763
```

The value obtained for the electronic total energy is -5.743 eV/atom. The magnetic moment is 0.0 μB per formula unit. Its raw formation energy is -1.442 eV/atom.

Entry 14:
Compound: Li2As2PbO7
Source: Alexandria via LeMat-Bulk
Functional: PBE
Structure: relaxed

Geometry as extended XYZ:
```
12
Lattice="2.755 1.591 7.727 -2.755 1.591 7.727 0.000 -3.181 7.727" Properties=species:S:1:pos:R:3 pbc="T T T"
Li 0.000 0.000 5.778
Li 0.000 0.000 17.402
As 0.000 0.000 9.821
As 0.000 0.000 13.359
Pb 0.000 0.000 0.000
O -0.900 -1.365 9.344
O -0.732 -1.462 13.836
O -0.732 1.462 9.344
O 0.000 0.000 11.590
O -0.900 1.365 13.836
O 1.632 -0.097 9.344
O 1.632 0.097 13.836
```

The value obtained for the electronic total energy is -5.794 eV/atom. The magnetic moment is 0.0 μB per formula unit. Its raw formation energy is -1.498 eV/atom.

Entry 15:
Compound: Li2AsPbO4
Source: Alexandria via LeMat-Bulk
Functional: PBE
Structure: relaxed

Geometry as extended XYZ:
```
8
Lattice="-2.700 2.700 3.710 2.700 -2.700 3.710 2.700 2.700 -3.710" Properties=species:S:1:pos:R:3 pbc="T T T"
Li 2.700 0.000 1.855
Li 0.000 2.700 1.855
As 0.000 0.000 0.000
Pb 0.000 0.000 3.710
O 1.633 -1.633 2.670
O 1.066 1.066 1.040
O -1.633 1.633 2.670
O 1.633 1.633 4.749
```

The value obtained for the electronic total energy is -5.415 eV/atom. The magnetic moment is 0.0 μB per formula unit. Its raw formation energy is -1.413 eV/atom.

Entry 16:
Compound: LiAs2PdO6
Source: Alexandria via LeMat-Bulk
Functional: PBE
Structure: relaxed

Geometry as extended XYZ:
```
20
Lattice="5.373 -4.939 0.000 5.373 4.939 0.000 -1.853 0.000 5.072" Properties=species:S:1:pos:R:3 pbc="T T T"
Li 3.983 4.246 3.804
Li 4.910 -4.246 1.268
As 1.682 0.880 3.777
As 2.608 -0.880 1.241
As 6.285 0.880 3.831
As 7.211 -0.880 1.295
Pd 4.910 2.286 1.268
Pd 3.983 -2.286 3.804
O 0.103 0.755 3.200
O 2.287 2.361 4.329
O 1.029 -0.755 0.664
O 2.892 0.345 2.546
O 3.818 -0.345 0.010
O 5.680 2.361 3.278
O 3.213 -2.361 1.793
O 5.075 0.345 5.061
O 6.001 -0.345 2.526
O 7.864 0.755 4.408
O 6.606 -2.361 0.742
O 8.790 -0.755 1.872
```

The value obtained for the electronic total energy is -5.662 eV/atom. The magnetic moment is 1.0 μB per formula unit. Its raw formation energy is -1.047 eV/atom.

Entry 17:
Compound: LiPm2AsO6
Source: Alexandria via LeMat-Bulk
Functional: PBE
Structure: relaxed

Geometry as extended XYZ:
```
10
Lattice="5.231 0.000 0.000 0.000 5.231 0.000 0.000 0.000 4.619" Properties=species:S:1:pos:R:3 pbc="T T T"
Li 0.000 0.000 0.000
Pm 0.000 2.615 2.108
Pm 2.615 0.000 2.108
As 2.615 2.615 0.141
O 0.000 0.000 2.670
O 1.387 1.387 0.616
O 1.387 3.843 0.616
O 2.615 2.615 2.987
O 3.843 1.387 0.616
O 3.843 3.843 0.616
```

The value obtained for the electronic total energy is -6.990 eV/atom. The magnetic moment is 0.0 μB per formula unit. Its raw formation energy is -2.409 eV/atom.

Entry 18:
Compound: LiPmAs2O8
Source: Alexandria via LeMat-Bulk
Functional: PBE
Structure: relaxed

Geometry as extended XYZ:
```
12
Lattice="-3.612 3.612 3.256 3.612 -3.612 3.256 3.612 3.612 -3.256" Properties=species:S:1:pos:R:3 pbc="T T T"
Li 0.000 0.000 0.000
Pm 0.000 3.612 1.628
As 3.612 0.000 1.628
As 0.000 0.000 3.256
O 2.271 0.000 0.538
O 4.953 0.000 0.538
O 3.612 2.269 -1.057
O 3.612 -1.341 2.718
O 0.000 1.343 2.199
O 3.612 1.341 2.718
O 2.269 3.612 1.057
O 1.343 0.000 4.313
```

The value obtained for the electronic total energy is -6.185 eV/atom. The magnetic moment is 2.0 μB per formula unit. Its raw formation energy is -1.549 eV/atom.

Entry 19:
Compound: LiPm2AsO5
Source: Alexandria via LeMat-Bulk
Functional: PBE
Structure: relaxed

Geometry as extended XYZ:
```
18
Lattice="6.714 0.000 0.000 0.000 6.714 0.000 0.000 0.000 5.951" Properties=species:S:1:pos:R:3 pbc="T T T"
Li 0.000 0.000 0.000
Li 3.357 3.357 0.000
Pm 1.179 2.178 2.975
Pm 2.178 5.535 2.975
Pm 4.536 1.179 2.975
Pm 5.535 4.536 2.975
As 0.000 3.357 0.000
As 3.357 0.000 0.000
O 0.000 0.000 2.975
O 0.939 4.296 1.485
O 0.939 4.296 4.466
O 2.418 0.939 1.485
O 2.418 0.939 4.466
O 3.357 3.357 2.975
O 4.296 5.775 1.485
O 4.296 5.775 4.466
O 5.775 2.418 1.485
O 5.775 2.418 4.466
```

The value obtained for the electronic total energy is -6.728 eV/atom. The magnetic moment is 0.0 μB per formula unit. Its raw formation energy is -2.188 eV/atom.

Entry 20:
Compound: Li4Pm3AsO8
Source: Alexandria via LeMat-Bulk
Functional: PBE
Structure: relaxed

Geometry as extended XYZ:
```
16
Lattice="3.420 1.975 5.107 -3.420 1.975 5.107 0.000 -3.949 5.107" Properties=species:S:1:pos:R:3 pbc="T T T"
Li 0.000 0.000 0.000
Li -1.710 -0.987 5.107
Li -1.710 0.987 10.214
Li 0.000 1.975 5.107
Pm -3.420 0.000 7.661
Pm -1.710 0.987 2.554
Pm 1.710 0.987 2.554
As 0.000 0.000 7.661
O 0.000 0.000 3.778
O 0.000 -1.888 6.429
O -1.635 0.944 6.429
O -1.635 -0.944 8.893
O 1.635 0.944 6.429
O 1.635 -0.944 8.893
O 0.000 1.888 8.893
O 0.000 0.000 11.543
```

The value obtained for the electronic total energy is -6.435 eV/atom. The magnetic moment is 0.0 μB per formula unit. Its raw formation energy is -2.297 eV/atom.